Record 1
Material: Ba2Ca
Method: DFT, meta-GGA SCAN
State: PBEsol geometry

The structure belongs to space group P6_3/mmc (No. 194); the cell edges are 6.7272, 6.7272 and 8.0364 Å and the angles 90.00°, 90.00° and 120.00°. The inequivalent atoms are Ba at (0.0000, 0.0000, 0.0000), Ba at (0.3333, 0.6667, 0.2500) and Ca at (0.3333, 0.6667, 0.7500).

The calculation puts the energy above the most stable polymorph in this dataset at 0.0260 eV per atom. The energy is -29.527 eV per atom. The calculation puts the density of states at the Fermi level at 8.10 states/eV per cell. The calculation puts the formation energy at 5.9 kJ per mole of atoms.

Record 2
Material: Ba2Ca
Method: DFT, meta-GGA SCAN
State: PBEsol geometry

The structure belongs to space group P6/mmm (No. 191); the cell edges are 6.6984, 6.6984 and 3.9818 Å and the angles 90.00°, 90.00° and 120.00°. The inequivalent atoms are Ba at (0.3333, 0.6667, 0.0000) and Ca at (0.0000, 0.0000, 0.5000).

The calculation puts the energy above the most stable polymorph in this dataset at 0.0377 eV per atom. The energy is -29.515 eV per atom. The calculation puts the density of states at the Fermi level at 4.91 states/eV per cell. The calculation puts the formation energy at 7.0 kJ per mole of atoms.

Record 3
Material: Ba3Ca
Method: DFT, meta-GGA SCAN
State: PBEsol geometry

The structure belongs to space group Fm-3m (No. 225); the cell edges are 9.4853, 9.4853 and 9.4853 Å and the angles 90.00°, 90.00° and 90.00°. The inequivalent atoms are Ba at (0.0000, 0.0000, 0.0000), Ba at (0.2500, 0.2500, 0.2500) and Ca at (0.0000, 0.0000, 0.5000).

The calculation puts the energy above the most stable polymorph in this dataset at 0.0177 eV per atom. The energy is -32.043 eV per atom. The calculation puts the density of states at the Fermi level at 25.63 states/eV per cell. The calculation puts the formation energy at 3.4 kJ per mole of atoms.

Record 4
Material: BaCa5
Method: DFT, meta-GGA SCAN
State: PBEsol geometry

The structure belongs to space group P-62m (No. 189); the cell edges are 6.7936, 6.7936 and 6.4703 Å and the angles 90.00°, 90.00° and 120.00°. The inequivalent atoms are Ba at (0.0000, 0.0000, 0.0000), Ca at (0.0000, 0.3414, 0.5000) and Ca at (0.3333, 0.6667, 0.0000).

The calculation puts the energy above the most stable polymorph in this dataset at 0.0049 eV per atom. The energy is -14.619 eV per atom. The calculation puts the density of states at the Fermi level at 7.04 states/eV per cell. The calculation puts the formation energy at 2.5 kJ per mole of atoms.

Record 5
Material: BaCa8
Method: DFT, meta-GGA SCAN
State: PBEsol geometry

The structure belongs to space group I4/mmm (No. 139); the cell edges are 11.7034, 11.7034 and 5.5500 Å and the angles 90.00°, 90.00° and 90.00°. The inequivalent atoms are Ba at (0.0000, 0.0000, 0.0000), Ca at (0.0000, 0.3377, 0.0000) and Ca at (0.1713, 0.1713, 0.5000).

The energy is -12.959 eV per atom. The calculation puts the density of states at the Fermi level at 17.83 states/eV per cell. The calculation puts the formation energy at 2.4 kJ per mole of atoms.

Record 6
Material: Ba3Ca
Method: DFT, meta-GGA SCAN
State: PBEsol geometry

The structure belongs to space group Pmmn (No. 59, origin choice 2); the cell edges are 6.9050, 8.4284 and 7.3293 Å and the angles 90.00°, 90.00° and 90.00°. The inequivalent atoms are Ba at (0.2500, 0.0018, 0.1691), Ba at (0.2500, 0.7500, 0.6630) and Ca at (0.2500, 0.2500, 0.6714).

The calculation puts the energy above the most stable polymorph in this dataset at 0.0005 eV per atom. The energy is -32.060 eV per atom. The calculation puts the density of states at the Fermi level at 8.38 states/eV per cell. The calculation puts the formation energy at 1.8 kJ per mole of atoms.

Record 7
Material: BaCa3
Method: DFT, meta-GGA SCAN
State: PBEsol geometry

The structure belongs to space group Pm-3n (No. 223); the cell edges are 7.1080, 7.1080 and 7.1080 Å and the angles 90.00°, 90.00° and 90.00°. The inequivalent atoms are Ba at (0.0000, 0.0000, 0.0000) and Ca at (0.0000, 0.2500, 0.5000).

The energy is -17.051 eV per atom. The calculation puts the density of states at the Fermi level at 8.50 states/eV per cell. The calculation puts the formation energy at 8.1 kJ per mole of atoms.

Record 8
Material: Ba3Ca
Method: DFT, meta-GGA SCAN
State: PBEsol geometry

The structure belongs to space group Cmmm (No. 65); the cell edges are 4.9098, 6.6178 and 13.1506 Å and the angles 90.00°, 90.00° and 90.00°. The inequivalent atoms are Ba at (0.0000, 0.0000, 0.0000), Ba at (0.0000, 0.5000, 0.2620) and Ca at (0.0000, 0.0000, 0.5000).

The calculation puts the energy above the most stable polymorph in this dataset at 0.0167 eV per atom. The energy is -32.044 eV per atom. The calculation puts the density of states at the Fermi level at 9.00 states/eV per cell. The calculation puts the formation energy at 3.3 kJ per mole of atoms.

Record 9
Material: Ba7Ca
Method: DFT, meta-GGA SCAN
State: PBEsol geometry

The structure belongs to space group Fm-3m (No. 225); the cell edges are 12.1763, 12.1763 and 12.1763 Å and the angles 90.00°, 90.00° and 90.00°. The inequivalent atoms are Ba at (0.0000, 0.0000, 0.0000), Ba at (0.0000, 0.2500, 0.2500) and Ca at (0.0000, 0.0000, 0.5000).

The energy is -35.768 eV per atom. The calculation puts the density of states at the Fermi level at 50.33 states/eV per cell. The calculation puts the formation energy at 4.5 kJ per mole of atoms.

Record 10
Material: BaCa
Method: DFT, meta-GGA SCAN
State: PBEsol geometry

The structure belongs to space group P-3m1 (No. 164); the cell edges are 4.0898, 4.0898 and 13.4173 Å and the angles 90.00°, 90.00° and 120.00°. The inequivalent atoms are Ba at (0.3333, 0.6667, 0.1344) and Ca at (0.3333, 0.6667, 0.6154).

The calculation puts the energy above the most stable polymorph in this dataset at 0.0437 eV per atom. The energy is -24.535 eV per atom. The calculation puts the density of states at the Fermi level at 4.87 states/eV per cell. The calculation puts the formation energy at 6.9 kJ per mole of atoms.

Record 11
Material: BaCa
Method: DFT, meta-GGA SCAN
State: PBEsol geometry

The structure belongs to space group Cmcm (No. 63); the cell edges are 3.9021, 15.3865 and 6.4195 Å and the angles 90.00°, 90.00° and 90.00°. The inequivalent atoms are Ba at (0.0000, 0.0712, 0.2500) and Ca at (0.0000, 0.3196, 0.2500).

The calculation puts the energy above the most stable polymorph in this dataset at 0.0379 eV per atom. The energy is -24.541 eV per atom. The calculation puts the density of states at the Fermi level at 10.28 states/eV per cell. The calculation puts the formation energy at 6.4 kJ per mole of atoms.

Record 12
Material: Ba2Ca
Method: DFT, meta-GGA SCAN
State: PBEsol geometry

The structure belongs to space group Cm (No. 8); the cell edges are 15.5377, 4.1783 and 9.9001 Å and the angles 90.00°, 105.81° and 90.00°. The inequivalent atoms are Ba at (0.0000, 0.0000, 0.0000), Ba at (0.0528, 0.0000, 0.6032), Ba at (0.1687, 0.5000, 0.3254), Ba at (0.3296, 0.0000, 0.6648), Ca at (0.2239, 0.5000, 0.9459) and Ca at (0.3826, 0.0000, 0.2634).

The calculation puts the energy above the most stable polymorph in this dataset at 0.0274 eV per atom. The energy is -29.525 eV per atom. The calculation puts the density of states at the Fermi level at 16.23 states/eV per cell. The calculation puts the formation energy at 6.1 kJ per mole of atoms.

Among the records above, which one has the lowest energy?
Ba7Ca